This record from the Open Quantum Materials Database describes an optimized crystal structure of CoAgGeSe3. The functional is GGA-PBE.

The raw total energy comes out at -4.32 eV/atom. The theoretical density comes out at 6.2 g cm⁻³.

It has space group Cmcm (No. 63), with a = 3.6045 Å, b = 14.7952 Å, c = 9.5847 Å, α = 90.00°, β = 90.00° and γ = 90.00°. The distinct sites, in fractional coordinates, are Co at (0.0000, 0.0000, 0.0000), Ag at (0.0000, 0.2999, 0.2500), Ge at (0.0000, 0.3406, 0.7500), Se at (0.0000, 0.0374, 0.2500) and Se at (0.0000, 0.3938, 0.0198).

=====

This record from the Open Quantum Materials Database describes an optimized crystal structure of B2W3Au. The functional is GGA-PBE.

The raw total energy comes out at -9.26 eV/atom. The theoretical density comes out at 15.9 g cm⁻³.

It has space group P6_3/mmc (No. 194), with a = 3.1032 Å, b = 3.1032 Å, c = 19.3040 Å, α = 90.00°, β = 90.00° and γ = 120.00°. The distinct sites, in fractional coordinates, are B at (0.3333, 0.6667, 0.0689), W at (0.0000, 0.0000, 0.0000), W at (0.3333, 0.6667, 0.6303) and Au at (0.0000, 0.0000, 0.2500).

=====

This record from the Open Quantum Materials Database describes an optimized crystal structure of AgHgSeO. The functional is GGA-PBE.

The theoretical density comes out at 8.6 g cm⁻³. The distance to the lowest polymorph of the same formula comes out at 0.25 eV per formula unit.

It has space group P6_3mc (No. 186), with a = 3.7025 Å, b = 3.7025 Å, c = 13.1771 Å, α = 90.00°, β = 90.00° and γ = 120.00°. The distinct sites, in fractional coordinates, are Ag at (0.0000, 0.0000, 0.0000), Hg at (0.3333, 0.6667, 0.2713), Se at (0.3333, 0.6667, 0.6166) and O at (0.0000, 0.0000, 0.3362).

=====

This record from the Open Quantum Materials Database describes an optimized crystal structure of PaFe2. The functional is GGA-PBE.

The value obtained for the formation energy is 89.9 kJ per mole of atoms. The theoretical density comes out at 10.6 g cm⁻³.

It has space group P4_2/mnm (No. 136), with a = 4.9070 Å, b = 4.9070 Å, c = 4.4739 Å, α = 90.00°, β = 90.00° and γ = 90.00°. The distinct sites, in fractional coordinates, are Pa at (0.0000, 0.0000, 0.0000) and Fe at (0.1737, 0.1737, 0.5000).

=====

This record from the Open Quantum Materials Database describes an optimized crystal structure of Ho2U2Al. The functional is GGA-PBE.

The raw total energy comes out at -6.85 eV/atom. The theoretical density comes out at 11.7 g cm⁻³.

It has space group Cmcm (No. 63), with a = 5.2427 Å, b = 9.0756 Å, c = 9.9720 Å, α = 90.00°, β = 90.00° and γ = 90.00°. The distinct sites, in fractional coordinates, are Ho at (0.0000, 0.1667, 0.0797), U at (0.0000, 0.4993, 0.6233) and Al at (0.0000, 0.1644, 0.7500).

=====

This record from the Open Quantum Materials Database describes an optimized crystal structure of Tb2Si3W2. The functional is GGA-PBE.

The raw total energy comes out at -7.40 eV/atom. The theoretical density comes out at 8.9 g cm⁻³.

It has space group C2/m (No. 12), with a = 13.5632 Å, b = 3.6217 Å, c = 6.3152 Å, α = 90.00°, β = 112.37° and γ = 90.00°. The distinct sites, in fractional coordinates, are Tb at (0.0981, 0.0000, 0.2682), Si at (0.0000, 0.5000, 0.5000), Si at (0.2375, 0.0000, 0.7256) and W at (0.1524, 0.5000, 0.8595).